{
  "formula": "PrHfTe3",
  "functional": "PBE",
  "state": "optimized geometry",
  "lattice": [[7.9744, -2.0706, 0.0000], [7.9744, 2.0706, 0.0000], [-0.0518, 0.0000, 9.3318]],
  "species": ["Pr", "Pr", "Hf", "Hf", "Te", "Te", "Te", "Te", "Te", "Te"],
  "frac_coords": [[0.1035, 0.1035, 0.4041], [0.8965, 0.8965, 0.5959], [0.2990, 0.2990, 0.1321], [0.7010, 0.7010, 0.8679], [0.1247, 0.1247, 0.0429], [0.2467, 0.2467, 0.6609], [0.4494, 0.4494, 0.3270], [0.5506, 0.5506, 0.6730], [0.7533, 0.7533, 0.3391], [0.8753, 0.8753, 0.9571]],
  "space_group": "C2/m, No. 12",
  "magmom_total_mub_per_fu": 0.32,
  "raw_formation_energy_mev_per_atom": -1109,
  "volume_a3_per_cell": 308.2,
  "rho_g_cm3": 7.57,
  "e_tot_ev_per_fu": -29.70
}


{
  "formula": "HgSe3O",
  "functional": "PBE",
  "state": "optimized geometry",
  "lattice": [[5.2397, 0.0000, 0.0000], [0.0000, 5.2397, 0.0000], [0.0000, 0.0000, 5.2397]],
  "species": ["Hg", "Se", "Se", "Se", "O"],
  "frac_coords": [[0.0000, 0.0000, 0.0000], [0.0000, 0.0000, 0.5000], [0.0000, 0.5000, 0.0000], [0.5000, 0.0000, 0.0000], [0.5000, 0.5000, 0.5000]],
  "space_group": "Pm-3m, No. 221",
  "magmom_total_mub_per_fu": 0.00,
  "raw_formation_energy_mev_per_atom": 1438,
  "volume_a3_per_cell": 143.9,
  "rho_g_cm3": 5.23,
  "e_tot_ev_per_fu": -8.53,
  "polymorph_energy_ev_per_atom": 0.940
}